VASP calculation (PBE-GGA) on an optimized crystal structure of BiIr2Pb.

The structure in extended XYZ format:
```
8
Lattice="-3.053 3.053 6.188 3.053 -3.053 6.188 3.053 3.053 -6.188" Properties=species:S:1:pos:R:3 pbc="T T T"
Bi 0.000 0.000 0.000
Bi 0.000 3.053 3.094
Ir 4.579 1.499 -1.547
Ir 1.499 1.526 1.547
Ir -1.526 1.554 4.641
Ir 1.554 1.526 7.735
Pb 3.053 0.000 3.094
Pb 0.000 0.000 6.188
```

**Energy of formation**: 0.750 eV per atom